[1]
Density functional theory data (PBE) for a relaxed DyHo2 crystal.

The structure in POSCAR format:
```
DyHo2
1.0
3.557 0.000 -0.003
1.779 3.077 0.011
0.007 2.035 8.495
Dy Ho
1 2
Cartesian
1.802 1.008 4.199
1.804 3.050 7.044
3.579 2.043 1.364
```

Computed properties:
Formation energy from the elements (eV per atom): 0.00
M_tot (μB/atom): 0.000
Crystal system: monoclinic

[2]
Density functional theory data (PBE) for a relaxed Th5Tl2Fe2 crystal.

The structure in POSCAR format:
```
Th5Tl2Fe2
1.0
6.681 0.000 2.425
0.000 8.303 0.000
0.497 0.000 9.047
Th Tl Fe
10 4 4
Cartesian
0.000 0.000 0.000
3.340 4.152 1.213
3.467 1.440 8.204
5.440 6.863 8.920
2.099 5.592 7.707
6.807 2.711 9.416
3.711 6.863 3.268
1.738 1.440 2.552
5.078 2.711 3.765
0.370 5.592 2.056
1.749 0.000 5.595
5.090 4.152 6.808
5.428 0.000 5.876
2.088 4.152 4.664
1.060 3.259 0.385
5.620 5.044 2.040
2.280 7.411 0.828
4.401 0.893 1.597
```

Computed properties:
Formation energy from the elements (eV per atom): -0.10
M_tot (μB/atom): 0.000
Crystal system: orthorhombic

[3]
Density functional theory data (PBE) for a relaxed ZnIr2Rh crystal.

The structure in POSCAR format:
```
ZnIr2Rh
1.0
-2.493 -2.543 -3.127
4.287 -1.902 0.677
-0.997 -1.523 2.033
Ir Rh Zn
2 1 1
Cartesian
0.000 0.000 0.000
0.897 -2.222 -1.225
-1.745 -2.033 -0.547
1.645 -1.713 1.355
```

Computed properties:
Formation energy from the elements (eV per atom): -0.04
M_tot (μB/atom): 0.000
Crystal system: orthorhombic

[4]
Density functional theory data (PBE) for a relaxed ScReAs2 crystal.

The structure in POSCAR format:
```
ScReAs2
1.0
4.875 0.004 -0.008
3.781 3.078 -0.008
1.113 0.396 4.588
As Re Sc
2 1 1
Cartesian
8.647 3.078 0.101
7.376 2.626 3.109
4.883 1.738 2.753
2.405 0.856 0.877
```

Computed properties:
Formation energy from the elements (eV per atom): -0.30
M_tot (μB/atom): 0.000
Crystal system: monoclinic

no.,volume (Å³ per atom)
1,30.96
2,27.33
3,14.33
4,17.20